{
  "formula": "PuReN6",
  "functional": "PBE",
  "state": "relaxed",
  "cell": [[5.5768, 0.0000, 0.0000], [2.7884, 4.8297, 0.0000], [2.7884, 1.6099, 4.5535]],
  "species": ["Pu", "Re", "N", "N", "N", "N", "N", "N"],
  "frac_coords": [[0.5000, 0.5000, 0.5000], [0.0000, 0.0000, 0.0000], [0.7523, 0.7523, 0.2477], [0.7523, 0.2477, 0.2477], [0.2477, 0.7523, 0.7523], [0.2477, 0.2477, 0.7523], [0.2477, 0.7523, 0.2477], [0.7523, 0.2477, 0.7523]],
  "e_tot_ev_per_atom": -8.773,
  "raw_formation_energy_kj_per_mol_atoms": 79,
  "sg": "Fm-3m (225)",
  "m_tot_mub_per_atom": 0.091,
  "dos_ef_per_ev_cell": 4.79
}



{
  "formula": "LiLa2ZnRh",
  "functional": "PBE",
  "state": "relaxed",
  "cell": [[-2.6097, -0.8459, 4.7443], [3.2128, -4.3268, 0.9958], [3.2738, 2.9671, 2.3298]],
  "species": ["Zn", "Li", "Rh", "La", "La"],
  "frac_coords": [[0.0000, 0.0000, 0.5000], [0.5000, 0.5000, 0.5000], [0.0000, 0.0000, 0.0000], [0.0000, 0.5000, 0.0000], [0.5000, 0.0000, 0.0000]],
  "e_tot_ev_per_atom": -4.350,
  "formation_energy_ev_per_atom": -0.27,
  "sg": "P4/mmm (123)",
  "m_tot_mub_per_atom": 0.000,
  "dos_ef_per_ev_cell": 3.26
}



{
  "formula": "KCuSbS2",
  "functional": "PBE",
  "state": "relaxed",
  "cell": [[4.2928, 0.0000, 0.0000], [0.0000, 7.3839, 0.4773], [0.0000, -1.7710, 8.1026]],
  "species": ["K", "K", "Cu", "Cu", "Sb", "Sb", "S", "S", "S", "S"],
  "frac_coords": [[0.1705, 0.5000, 0.7500], [0.8295, 0.5000, 0.2500], [0.0000, 0.0000, 0.0000], [0.0000, 0.0000, 0.5000], [0.4687, 0.0000, 0.2500], [0.5313, 0.0000, 0.7500], [0.6772, 0.7637, 0.9710], [0.6772, 0.2364, 0.5290], [0.3228, 0.7637, 0.4710], [0.3228, 0.2364, 0.0290]],
  "e_tot_ev_per_atom": -3.932,
  "raw_formation_energy_kj_per_mol_atoms": -40,
  "sg": "P2/c (13)",
  "m_tot_mub_per_atom": 0.000,
  "dos_ef_per_ev_cell": 2.73
}



{
  "formula": "Cd24In5",
  "functional": "PBE",
  "state": "relaxed",
  "cell": [[-5.2988, 7.9328, 1.5426], [-3.6004, -4.8638, -7.5344], [-0.2344, -5.6100, 7.8651]],
  "species": ["Cd", "Cd", "Cd", "Cd", "Cd", "Cd", "Cd", "Cd", "Cd", "Cd", "Cd", "Cd", "Cd", "Cd", "Cd", "Cd", "Cd", "Cd", "Cd", "Cd", "Cd", "Cd", "Cd", "Cd", "In", "In", "In", "In", "In"],
  "frac_coords": [[0.0000, 0.8092, 0.6121], [0.0000, 0.6121, 0.8092], [0.1972, 0.3879, 0.3879], [0.8028, 0.1908, 0.1908], [0.8092, 0.0000, 0.6121], [0.6121, 0.0000, 0.8092], [0.1908, 0.8028, 0.1908], [0.3879, 0.1972, 0.3879], [0.1908, 0.1908, 0.8028], [0.3879, 0.3879, 0.1972], [0.6121, 0.8092, 0.0000], [0.8092, 0.6121, 0.0000], [0.0000, 0.3129, 0.5811], [0.0000, 0.5811, 0.3129], [0.7318, 0.4189, 0.4189], [0.2682, 0.6871, 0.6871], [0.3129, 0.0000, 0.5811], [0.5811, 0.0000, 0.3129], [0.6871, 0.2682, 0.6871], [0.4189, 0.7318, 0.4189], [0.6871, 0.6871, 0.2682], [0.4189, 0.4189, 0.7318], [0.5811, 0.3129, 0.0000], [0.3129, 0.5811, 0.0000], [0.0000, 0.0000, 0.3438], [0.0000, 0.3438, 0.0000], [0.6562, 0.6562, 0.6562], [0.3438, 0.0000, 0.0000], [0.0000, 0.0000, 0.0000]],
  "e_tot_ev_per_atom": -1.196,
  "formation_energy_ev_per_atom": 0.03,
  "sg": "I-43m (217)",
  "m_tot_mub_per_atom": 0.000,
  "dos_ef_per_ev_cell": 10.87
}



{
  "formula": "DyMn2Si2",
  "functional": "PBE",
  "state": "relaxed",
  "cell": [[-0.1955, 5.4285, -2.1849], [-2.5206, 1.3857, -5.0997], [-1.0269, -2.9708, 4.9396]],
  "species": ["Dy", "Mn", "Mn", "Si", "Si"],
  "frac_coords": [[0.0000, 0.0000, 0.0000], [0.7500, 0.2500, 0.5000], [0.2500, 0.7500, 0.5000], [0.6200, 0.6200, 0.0000], [0.3800, 0.3800, 0.0000]],
  "e_tot_ev_per_atom": -7.381,
  "raw_formation_energy_kj_per_mol_atoms": -60,
  "sg": "I4/mmm (139)",
  "m_tot_mub_per_atom": 0.714,
  "dos_ef_per_ev_cell": 2.99
}



{
  "formula": "NaPr2P3Pd12",
  "functional": "PBE",
  "state": "relaxed",
  "cell": [[-6.6915, -1.1280, 2.2923], [0.7409, -1.1005, 7.0387], [-1.9015, 6.2479, 2.9413]],
  "species": ["Na", "Pr", "Pr", "P", "P", "P", "Pd", "Pd", "Pd", "Pd", "Pd", "Pd", "Pd", "Pd", "Pd", "Pd", "Pd", "Pd"],
  "frac_coords": [[0.0000, 0.0000, 0.0000], [0.6126, 0.6126, 0.6126], [0.3874, 0.3874, 0.3874], [0.5000, 0.0000, 0.0000], [0.0000, 0.5000, 0.0000], [0.0000, 0.0000, 0.5000], [0.3149, 0.3149, 0.8908], [0.8440, 0.8440, 0.3639], [0.3639, 0.8440, 0.8440], [0.8908, 0.3149, 0.3149], [0.8440, 0.3639, 0.8440], [0.3149, 0.8908, 0.3149], [0.6851, 0.6851, 0.1092], [0.1560, 0.1560, 0.6361], [0.6361, 0.1560, 0.1560], [0.1092, 0.6851, 0.6851], [0.1560, 0.6361, 0.1560], [0.6851, 0.1092, 0.6851]],
  "e_tot_ev_per_atom": -5.367,
  "formation_energy_ev_per_atom": -0.40,
  "sg": "R-3m (166)",
  "m_tot_mub_per_atom": 0.000,
  "dos_ef_per_ev_cell": 4.63
}